(1)
Material: Er8CuTe4As3
Method: DFT, PBE
State: optimized geometry

Symmetry ... R-3m, No. 166
Mass density ... 8.4 Mg/m³
Formation energy from raw total energies ... -28.86 kcal/mol of atoms
Spin magnetization ... 0.00 μB per cell
Crystal system ... trigonal
D(E_F) ... 9.338 states/eV/cell
Calculated total energy ... -5.446 eV/atom

Cell: 8.334 8.479 8.336 Å, 119.46 119.99 90.00°
Sites, in units of the cell vectors:
Er 0.235 0.717 0.982
Er 0.236 0.718 0.472
Er 0.261 0.283 0.522
Er 0.746 0.717 0.982
Er 0.254 0.283 0.018
Er 0.739 0.717 0.478
Er 0.764 0.282 0.528
Er 0.765 0.283 0.018
Cu 0.000 0.500 0.000
Te 0.500 0.000 0.000
Te 0.500 0.000 0.500
Te 0.000 0.000 0.000
Te 0.000 0.000 0.500
As 0.500 0.500 0.000
As 0.500 0.500 0.500
As 0.000 0.500 0.500


(2)
Material: EuCuAs
Method: DFT, PBE
State: optimized geometry

Symmetry ... P-6m2, No. 187
Mass density ... 7.5 Mg/m³
Spin magnetization ... 7.04 μB per cell
Crystal system ... hexagonal
Formation enthalpy at 0 K ... -0.829 eV/atom
D(E_F) ... 9.351 states/eV/cell
Calculated total energy ... -7.169 eV/atom

Cell: 4.257 4.186 4.186 Å, 120.00 90.00 90.00°
Site moments in Bohr magnetons follow the coordinates.
Sites, in units of the cell vectors:
Eu 0.667 0.333 0.667  6.81
As 0.166 0.000 0.000  -0.06
Cu 0.167 0.667 0.333  -0.03


(3)
Material: EuCuAs
Method: DFT, PBE
State: optimized geometry

Symmetry ... P6_3/mmc, No. 194
Mass density ... 7.5 Mg/m³
Spin magnetization ... 14.00 μB per cell
Crystal system ... hexagonal
Formation enthalpy at 0 K ... -0.845 eV/atom
D(E_F) ... 1.887 states/eV/cell
Calculated total energy ... -7.185 eV/atom

Cell: 4.225 4.225 8.313 Å, 90.00 90.00 120.00°
Site moments in Bohr magnetons follow the coordinates.
Sites, in units of the cell vectors:
Eu 0.000 0.000 0.997  6.81
Eu 0.000 0.000 0.497  6.81
As 0.333 0.667 0.247  -0.05
As 0.667 0.333 0.747  -0.05
Cu 0.333 0.667 0.747  -0.01
Cu 0.667 0.333 0.247  -0.01


(4)
Material: CuAsF2
Method: DFT, PBE
State: optimized geometry

Symmetry ... Fm-3m, No. 225
Distance to the lowest polymorph of the same formula ... 466.4 meV/atom
Mass density ... 5.7 Mg/m³
Formation energy from raw total energies ... -10.67 kcal/mol of atoms
Spin magnetization ... 0.00 μB per cell
Crystal system ... cubic
D(E_F) ... 0.511 states/eV/cell
Calculated total energy ... -3.585 eV/atom

Cell: 4.166 4.166 4.166 Å, 60.00 60.00 60.00°
Sites, in units of the cell vectors:
As 0.500 0.500 0.500
Cu 0.000 0.000 0.000
F 0.250 0.250 0.250
F 0.750 0.750 0.750